Entry 1:
An optimized crystal structure of Ni4Ru. Source: Alexandria via LeMat-Bulk, functional GGA-PBE.

Cell: 4.402 4.402 4.402 Å, 90.00 90.00 90.00°
Site moments in Bohr magnetons follow the coordinates.
Sites, in units of the cell vectors:
Ni1 0.500 0.500 0.000  0.01
Ni2 0.000 0.500 0.500  0.01
Ni3 0.500 0.000 0.500  0.01
Ru1 0.500 0.500 0.500  0.06
Ni4 0.000 0.000 0.000  0.43

Computed properties:
Offset from the most stable computed form = 1.5084 eV/atom
Formation energy from the elements = 7.86 eV/f.u.
N(E_F) = 9.72 states/eV/f.u.

***

Entry 2:
An optimized crystal structure of NiRu. Source: Alexandria via LeMat-Bulk, functional GGA-PBE.

Cell: 9.135 4.197 5.202 Å, 90.00 90.00 90.00°
Sites, in units of the cell vectors:
Ru1 0.666 0.250 0.504
Ni1 0.085 0.750 0.256
Ni2 0.667 0.250 0.010
Ni3 0.915 0.250 0.744
Ru2 0.334 0.750 0.496
Ru3 0.583 0.750 0.751
Ni4 0.167 0.250 0.490
Ru4 0.417 0.250 0.249
Ni5 0.833 0.750 0.510
Ru5 0.083 0.750 0.749
Ni6 0.333 0.750 0.990
Ru6 0.834 0.750 0.004
Ni7 0.585 0.750 0.244
Ru7 0.166 0.250 0.996
Ru8 0.917 0.250 0.251
Ni8 0.415 0.250 0.756

Computed properties:
Formation energy from the elements = 0.20 eV/f.u.
N(E_F) = 3.11 states/eV/f.u.

***

Entry 3:
An optimized crystal structure of Ni7Ru. Source: Alexandria via LeMat-Bulk, functional GGA-PBE.

Cell: 5.039 5.039 5.039 Å, 60.00 60.00 60.00°
Site moments in Bohr magnetons follow the coordinates.
Sites, in units of the cell vectors:
Ni1 0.500 0.000 0.000  0.38
Ni2 0.500 0.000 0.500  0.38
Ru1 0.000 0.000 0.000  0.19
Ni3 0.000 0.000 0.500  0.38
Ni4 0.500 0.500 0.500  0.82
Ni5 0.000 0.500 0.000  0.38
Ni6 0.000 0.500 0.500  0.38
Ni7 0.500 0.500 0.000  0.38

Computed properties:
Formation energy from the elements = 0.62 eV/f.u.
N(E_F) = 14.76 states/eV/f.u.

***

Entry 4:
An optimized crystal structure of NiRu. Source: Alexandria via LeMat-Bulk, functional GGA-PBE.

Cell: 4.887 4.887 6.180 Å, 76.10 76.10 31.78°
Sites, in units of the cell vectors:
Ru1 0.943 0.943 0.611
Ni1 0.002 0.002 0.004
Ni2 0.666 0.666 0.667
Ru2 0.330 0.330 0.335
Ru3 0.283 0.283 0.940
Ni3 0.610 0.610 0.276

Computed properties:
Formation energy from the elements = 0.21 eV/f.u.
N(E_F) = 2.73 states/eV/f.u.

***

Entry 5:
An optimized crystal structure of NiRu. Source: Alexandria via LeMat-Bulk, functional GGA-PBE.

Cell: 4.207 7.793 4.560 Å, 90.00 90.00 90.00°
Sites, in units of the cell vectors:
Ni1 0.500 0.339 0.333
Ni2 0.500 0.161 0.833
Ru1 0.000 0.670 0.006
Ni3 0.500 0.839 0.833
Ru2 0.500 0.000 0.321
Ru3 0.000 0.170 0.506
Ni4 0.000 0.000 0.002
Ru4 0.500 0.500 0.821
Ru5 0.000 0.330 0.006
Ni5 0.500 0.661 0.333
Ru6 0.000 0.830 0.506
Ni6 0.000 0.500 0.502

Computed properties:
Formation energy from the elements = 0.17 eV/f.u.
N(E_F) = 2.95 states/eV/f.u.

***

Entry 6:
An optimized crystal structure of NiRu. Source: Alexandria via LeMat-Bulk, functional GGA-PBE.

Cell: 6.771 6.771 4.867 Å, 90.00 90.00 90.00°
Site moments in Bohr magnetons follow the coordinates.
Sites, in units of the cell vectors:
Ni1 0.440 0.739 0.500  0.06
Ru1 0.747 0.568 0.000  0.29
Ni2 0.761 0.940 0.000  0.06
Ru2 0.932 0.247 0.500  0.29
Ni3 0.739 0.560 0.500  0.06
Ru3 0.253 0.432 0.000  0.29
Ni4 0.060 0.761 0.000  0.06
Ni5 0.940 0.239 0.000  0.06
Ru4 0.068 0.753 0.500  0.29
Ru5 0.753 0.932 0.500  0.29
Ru6 0.568 0.253 0.000  0.29
Ru7 0.247 0.068 0.500  0.29
Ni6 0.560 0.261 0.500  0.06
Ni7 0.261 0.440 0.500  0.06
Ni8 0.239 0.060 0.000  0.06
Ru8 0.432 0.747 0.000  0.29

Computed properties:
Formation energy from the elements = 1.52 eV/f.u.
N(E_F) = 3.25 states/eV/f.u.

***

Entry 7:
An optimized crystal structure of Ni3Ru. Source: Alexandria via LeMat-Bulk, functional GGA-PBE.

Cell: 4.446 8.286 5.100 Å, 90.00 90.00 90.00°
Site moments in Bohr magnetons follow the coordinates.
Sites, in units of the cell vectors:
Ru1 0.923 0.250 0.372  0.21
Ni1 0.251 0.501 0.380  0.42
Ni2 0.083 0.750 0.134  0.33
Ru2 0.577 0.750 0.872  0.21
Ni3 0.751 0.999 0.120  0.42
Ru3 0.423 0.250 0.128  0.21
Ni4 0.249 0.001 0.880  0.42
Ni5 0.749 0.001 0.620  0.42
Ru4 0.077 0.750 0.628  0.21
Ni6 0.249 0.499 0.880  0.42
Ni7 0.751 0.501 0.120  0.42
Ni8 0.251 0.999 0.380  0.42
Ni9 0.417 0.250 0.634  0.33
Ni10 0.749 0.499 0.620  0.42
Ni11 0.917 0.250 0.866  0.33
Ni12 0.583 0.750 0.366  0.33

Computed properties:
Formation energy from the elements = 0.39 eV/f.u.
N(E_F) = 7.47 states/eV/f.u.

***

Entry 8:
An optimized crystal structure of Ni2Ru. Source: Alexandria via LeMat-Bulk, functional GGA-PBE.

Cell: 7.073 7.073 2.537 Å, 90.00 90.00 120.00°
Site moments in Bohr magnetons follow the coordinates.
Sites, in units of the cell vectors:
Ni1 0.637 0.000 0.500  0.21
Ni2 0.000 0.637 0.500  0.21
Ni3 0.696 0.696 0.000  0.12
Ni4 0.363 0.363 0.500  0.21
Ni5 0.304 0.000 0.000  0.12
Ni6 0.000 0.304 0.000  0.12
Ru1 0.333 0.667 0.000  0.27
Ru2 0.000 0.000 0.500  0.21
Ru3 0.667 0.333 0.000  0.27

Computed properties:
Formation energy from the elements = 0.67 eV/f.u.
N(E_F) = 5.37 states/eV/f.u.

***

Entry 9:
An optimized crystal structure of Ni5Ru3. Source: Alexandria via LeMat-Bulk, functional GGA-PBE.

Cell: 7.194 7.193 4.522 Å, 90.00 90.00 59.99°
Site moments in Bohr magnetons follow the coordinates.
Sites, in units of the cell vectors:
Ni1 0.799 0.000 0.750  0.39
Ni2 0.667 0.667 0.000  0.16
Ni3 0.000 0.201 0.750  0.39
Ni4 0.000 0.799 0.250  0.39
Ru1 0.407 0.593 0.250  0.21
Ru2 0.407 0.000 0.750  0.21
Ni5 0.667 0.667 0.500  0.16
Ru3 0.593 0.407 0.750  0.21
Ni6 0.333 0.333 0.500  0.16
Ni7 0.333 0.333 0.000  0.16
Ru4 0.000 0.593 0.750  0.21
Ni8 0.201 0.000 0.250  0.39
Ni9 0.201 0.799 0.750  0.39
Ni10 0.799 0.201 0.250  0.39
Ru5 0.593 0.000 0.250  0.21
Ru6 0.000 0.407 0.250  0.21

Computed properties:
Offset from the most stable computed form = 0.2664 eV/atom
Formation energy from the elements = 2.80 eV/f.u.
N(E_F) = 13.37 states/eV/f.u.

***

Entry 10:
An optimized crystal structure of Ni2Ru. Source: Alexandria via LeMat-Bulk, functional GGA-PBE.

Cell: 5.116 7.637 4.433 Å, 90.00 124.25 90.00°
Sites, in units of the cell vectors:
Ni1 0.750 0.256 0.250
Ni2 0.250 0.913 0.250
Ru1 0.250 0.580 0.250
Ni3 0.750 0.587 0.250
Ni4 0.250 0.413 0.750
Ru2 0.750 0.420 0.750
Ru3 0.750 0.920 0.250
Ni5 0.750 0.087 0.750
Ni6 0.250 0.244 0.250
Ni7 0.250 0.744 0.750
Ni8 0.750 0.756 0.750
Ru4 0.250 0.080 0.750

Computed properties:
Formation energy from the elements = 0.26 eV/f.u.
N(E_F) = 4.45 states/eV/f.u.

***

Entry 11:
An optimized crystal structure of NiRu. Source: Alexandria via LeMat-Bulk, functional GGA-PBE.

Cell: 2.629 2.629 12.639 Å, 90.00 90.00 120.00°
Sites, in units of the cell vectors:
Ru1 0.333 0.667 0.167
Ru2 0.667 0.333 0.833
Ru3 0.000 0.000 0.500
Ni1 0.333 0.667 0.667
Ni2 0.667 0.333 0.333
Ni3 0.000 0.000 0.000

Computed properties:
Formation energy from the elements = 0.32 eV/f.u.
N(E_F) = 2.70 states/eV/f.u.

***

Entry 12:
An optimized crystal structure of Ni3Ru. Source: Alexandria via LeMat-Bulk, functional GGA-PBE.

Cell: 2.565 4.404 4.406 Å, 99.63 90.00 106.93°
Site moments in Bohr magnetons follow the coordinates.
Sites, in units of the cell vectors:
Ru1 0.750 0.500 0.250  0.26
Ni1 0.999 0.999 0.998  0.34
Ni2 0.501 0.001 0.502  0.34
Ni3 0.250 0.500 0.750  0.19

Computed properties:
Formation energy from the elements = 0.39 eV/f.u.
N(E_F) = 6.88 states/eV/f.u.